(1)
# Li4PdPt4

A relaxed structure of Li4PdPt4 (GGA-PBE, Alexandria via LeMat-Bulk).

a b c (Å): 3.9981 6.0443 6.0443
angles (deg): 83.72 70.69 70.69
Element x y z (fractional)
Li  0.6676  0.0000  0.6648
Li  0.3324  0.3352  0.0000
Li  0.6676  0.6648  0.0000
Pd  0.0000  0.0000  0.0000
Pt  0.0000  0.6666  0.3334
Li  0.3324  0.0000  0.3352
Pt  0.6666  0.3334  0.3334
Pt  0.0000  0.3334  0.6666
Pt  0.3334  0.6666  0.6666

Properties
formation energy	-0.402	eV per atom
V	14.454	Å³/atom
magnetic moment	0.00	μB/atom
space group	No. 139

---

(2)
# Li2PdPt

A relaxed structure of Li2PdPt (GGA-PBE, Alexandria via LeMat-Bulk).

a b c (Å): 3.7466 3.8654 3.8654
angles (deg): 90.00 90.00 90.00
Element x y z (fractional)
Pd  0.5000  0.5000  0.5000
Pt  0.5000  0.0000  0.0000
Li  0.0000  0.0000  0.5000
Li  0.0000  0.5000  0.0000

Properties
formation energy	-0.453	eV per atom
V	13.995	Å³/atom
magnetic moment	0.00	μB/atom
space group	No. 123

---

(3)
# Li4Pd2Pt

A relaxed structure of Li4Pd2Pt (GGA-PBE, Alexandria via LeMat-Bulk).

a b c (Å): 5.1644 5.1644 8.4758
angles (deg): 90.00 90.00 107.81
Element x y z (fractional)
Li  0.7832  0.7830  0.5000
Li  0.0000  0.5000  0.7499
Pt  0.5000  0.5000  0.7500
Li  0.0000  0.5000  0.2501
Pd  0.7207  0.2795  0.0000
Li  0.5000  0.0000  0.7501
Li  0.2170  0.2168  0.0000
Li  0.7830  0.7832  0.0000
Li  0.2168  0.2170  0.5000
Pd  0.2793  0.7205  0.0000
Pd  0.7205  0.2793  0.5000
Pd  0.2795  0.7207  0.5000
Pt  0.5000  0.5000  0.2500
Li  0.5000  0.0000  0.2499

Properties
formation energy	-0.354	eV per atom
V	15.373	Å³/atom
magnetic moment	0.00	μB/atom
space group	No. 65